Computed, not measured: a relaxed CdAg4As crystal at the PBE level of DFT.

Computed properties:
Crystal system: cubic
DFT formation energy in eV per atom: 0.1878
V in Å³ per atom: 19.867
D(E_F) in states/eV per atom: 0.70

abc: 5.524 5.524 5.524
angles: 60.00 60.00 60.00
Fractional positions:
1 Cd 0.000 0.000 0.000
2 Ag 0.124 0.625 0.625
3 Ag 0.625 0.124 0.625
4 Ag 0.625 0.625 0.124
5 Ag 0.625 0.625 0.625
6 As 0.250 0.250 0.250